## LiFeCo (GGA-PBE)

Data for a relaxed LiFeCo crystal.

Cell: 9.5486 2.6667 5.8930 Å, 90.00 110.45 90.00°
Last column: nearest neighbours and their distance in Å.
Space group Cm (No. 8)
Inequivalent atoms, fractional coordinates:
Li 0.0000 0.0000 0.0000 x2  4 Co 2.44-2.56, 4 Li 2.47-2.67, 2 Fe 2.60
Li 0.1552 0.5000 0.3508 x2  2 Co 2.44, 4 Li 2.47-2.67, 4 Fe 2.59
Fe 0.3237 0.0000 0.1696 x2  2 Co 2.44, 4 Fe 2.46-2.67, 4 Li 2.59-2.60
Fe 0.4796 0.5000 0.5180 x2  4 Co 2.43-2.46, 4 Fe 2.46-2.67, 2 Li 2.59
Co 0.1683 0.5000 0.8276 x2  2 Co 2.38, 4 Fe 2.44-2.46, 2 Li 2.56
Co 0.3238 0.0000 0.6796 x2  2 Co 2.38, 2 Fe 2.43, 4 Li 2.44

The total magnetization is 3.836 μB/f.u. The value obtained for the relative energy among the computed polymorphs is 10.7 kJ/mol of formula units.


## Tb2ErZn (GGA-PBE)

Data for a relaxed Tb2ErZn crystal.

Cell: 3.4463 3.4463 35.3086 Å, 90.00 90.00 120.00°
Last column: nearest neighbours and their distance in Å.
Space group R-3m (No. 166, hexagonal axes)
Inequivalent atoms, fractional coordinates:
Tb 0.0000 0.0000 0.0870 x6  1 Zn 3.07
Er 0.0000 0.0000 0.5000 x3  6 Tb 3.45, 6 Er 3.45
Zn 0.0000 0.0000 0.0000 x3  2 Tb 3.07

The total magnetization is 0.000 μB/f.u. The value obtained for the relative energy among the computed polymorphs is 158.1 kJ/mol of formula units.


## AcNd2Ta (GGA-PBE)

Data for a relaxed AcNd2Ta crystal.

Cell: 3.4403 3.4403 37.1827 Å, 90.00 90.00 120.00°
Last column: nearest neighbours and their distance in Å.
Space group R-3m (No. 166, hexagonal axes)
Inequivalent atoms, fractional coordinates:
Ac 0.0000 0.0000 0.0000 x3  6 Ac 3.44, 6 Nd 3.82
Nd 0.0000 0.0000 0.4211 x6  1 Ta 2.93
Ta 0.0000 0.0000 0.5000 x3  2 Nd 2.93

The total magnetization is 0.002 μB/f.u.


## LiPrEuSc (GGA-PBE)

Data for a relaxed LiPrEuSc crystal.

Cell: 7.8701 7.8701 7.8701 Å, 90.00 90.00 90.00°
Last column: nearest neighbours and their distance in Å.
Space group F-43m (No. 216)
Inequivalent atoms, fractional coordinates:
Li 0.0000 0.0000 0.0000 x4  4 Eu 3.41, 4 Pr 3.41
Pr 0.2500 0.2500 0.2500 x4  4 Li 3.41, 4 Sc 3.41
Eu 0.2500 0.2500 0.7500 x4  4 Li 3.41, 4 Sc 3.41
Sc 0.0000 0.0000 0.5000 x4  4 Pr 3.41, 4 Eu 3.41

The total magnetization is 7.218 μB/f.u.


## KW (GGA-PBE)

Data for a relaxed KW crystal.

Cell: 4.2866 16.1657 6.3630 Å, 90.00 90.00 90.00°
Last column: nearest neighbours and their distance in Å.
Space group Pmmn (No. 59, origin choice 2)
Inequivalent atoms, fractional coordinates:
K 0.2500 0.0674 0.2491 x4  2 K 3.65, 1 W 3.87
K 0.2500 0.7500 0.7563 x2  4 W 3.42, 4 K 3.65
W 0.2500 0.2500 0.7441 x2  4 W 2.49
W 0.2500 0.6720 0.2559 x4  3 W 2.49-2.52

The total magnetization is 0.015 μB/f.u. The value obtained for the relative energy among the computed polymorphs is 103.8 kJ/mol of formula units.


## CaSc3Pd (GGA-PBE)

Data for a relaxed CaSc3Pd crystal.

Cell: 5.1864 5.1864 5.1864 Å, 90.00 90.00 90.00°
Last column: nearest neighbours and their distance in Å.
Space group Pm-3m (No. 221)
Inequivalent atoms, fractional coordinates:
Ca 0.0000 0.0000 0.0000 x1  12 Sc 3.67
Sc 0.0000 0.5000 0.5000 x3  2 Pd 2.59
Pd 0.5000 0.5000 0.5000 x1  6 Sc 2.59

The total magnetization is 0.000 μB/f.u. The value obtained for the relative energy among the computed polymorphs is 0.0 kJ/mol of formula units.


no.,calculated formation energy (eV/atom),electronic total energy (eV per atom),D(E_F) (states/eV/f.u.)
1,0.162,-5.665,2.6
2,0.252,-3.522,3.5
3,0.797,-5.577,7.6
4,0.199,-5.626,5.2
5,1.460,-5.565,2.4
6,-0.122,-5.360,9.8